# 1
Th2US3: optimized geometry, PBE-GGA.

Geometry as POSCAR:
```
Th2US3
1.0
5.653 -0.009 0.000
0.013 7.884 0.000
0.000 0.000 12.139
S Th U
12 8 4
Direct
0.249 0.626 0.248 S
0.749 0.367 0.079 S
0.749 0.867 0.421 S
0.251 0.133 0.579 S
0.251 0.116 0.920 S
0.249 0.126 0.252 S
0.251 0.616 0.580 S
0.251 0.633 0.921 S
0.749 0.884 0.080 S
0.749 0.384 0.420 S
0.751 0.374 0.752 S
0.751 0.874 0.748 S
0.249 0.873 0.417 Th
0.751 0.627 0.917 Th
0.251 0.874 0.747 Th
0.249 0.373 0.083 Th
0.251 0.374 0.753 Th
0.751 0.127 0.583 Th
0.749 0.626 0.247 Th
0.749 0.126 0.253 Th
0.751 0.622 0.588 U
0.249 0.878 0.088 U
0.249 0.378 0.412 U
0.751 0.122 0.912 U
```

Results
- SG = P2_1/c
- energy relative to the elements, uncorrected (eV per atom) = -1.66
- DOS(E_F) (states/eV per cell) = 33.07
- VASP energy (eV per atom) = -8.083

# 2
PmPr2Y4Sc: optimized geometry, PBE-GGA.

Geometry as POSCAR:
```
PmPr2Y4Sc
1.0
-8.220 -4.764 0.248
-0.914 0.434 -9.450
9.803 -1.849 6.394
Y Pr Sc Pm
8 4 2 2
Direct
0.750 0.749 0.982 Y
0.234 0.765 0.999 Y
0.249 0.250 0.482 Y
0.265 0.734 0.499 Y
0.250 0.251 0.018 Y
0.735 0.266 0.501 Y
0.766 0.235 0.001 Y
0.751 0.750 0.518 Y
0.500 0.000 0.500 Pr
0.000 0.000 0.500 Pr
0.500 0.000 0.000 Pr
0.500 0.500 0.000 Pr
0.000 0.000 0.000 Sc
0.500 0.500 0.500 Sc
0.000 0.500 0.000 Pm
0.000 0.500 0.500 Pm
```

Results
- SG = C2/c
- energy relative to the elements (eV per atom) = 0.405
- DOS(E_F) (states/eV per cell) = 35.65
- VASP energy (eV per atom) = -5.407

> Number 2 is which compound?

PmPr2Y4Sc

> DOS(E_F) of number 1 (Th2US3)?

33.07 states/eV per cell

> VASP energy of number 1 (Th2US3)?

-8.083 eV per atom

Repeat the first record exactly.
Th2US3: optimized geometry, PBE-GGA.

Geometry as POSCAR:
```
Th2US3
1.0
5.653 -0.009 0.000
0.013 7.884 0.000
0.000 0.000 12.139
S Th U
12 8 4
Direct
0.249 0.626 0.248 S
0.749 0.367 0.079 S
0.749 0.867 0.421 S
0.251 0.133 0.579 S
0.251 0.116 0.920 S
0.249 0.126 0.252 S
0.251 0.616 0.580 S
0.251 0.633 0.921 S
0.749 0.884 0.080 S
0.749 0.384 0.420 S
0.751 0.374 0.752 S
0.751 0.874 0.748 S
0.249 0.873 0.417 Th
0.751 0.627 0.917 Th
0.251 0.874 0.747 Th
0.249 0.373 0.083 Th
0.251 0.374 0.753 Th
0.751 0.127 0.583 Th
0.749 0.626 0.247 Th
0.749 0.126 0.253 Th
0.751 0.622 0.588 U
0.249 0.878 0.088 U
0.249 0.378 0.412 U
0.751 0.122 0.912 U
```

Results
- SG = P2_1/c
- energy relative to the elements, uncorrected (eV per atom) = -1.66
- DOS(E_F) (states/eV per cell) = 33.07
- VASP energy (eV per atom) = -8.083